[1]
## LaCo2NiSn (PBE)

Data for a relaxed structure of LaCo2NiSn.

Summary:
Energy of formation, eV per atom: 0.41
M_tot, μB per cell: 0.1
Fermi-level density of states, states/eV/f.u.: 11.7
SG: No. 123

a = 4.634 Å, b = 4.634 Å, c = 4.608 Å
α = 90.00°, β = 90.00°, γ = 90.00°
Atoms (fractional coordinates):
1 La 0.000 0.000 0.000
2 Co 0.000 0.500 0.500
3 Co 0.500 0.000 0.500
4 Ni 0.500 0.500 0.500
5 Sn 0.500 0.500 0.000

[2]
## LaTbCoNi (PBE)

Data for a relaxed structure of LaTbCoNi.

Summary:
Energy of formation, eV per atom: -0.24
M_tot, μB per cell: 0.0
Fermi-level density of states, states/eV/f.u.: 3.0
SG: No. 38

a = 3.981 Å, b = 5.835 Å, c = 5.835 Å
α = 38.76°, β = 90.00°, γ = 90.00°
Atoms (fractional coordinates):
1 La 0.000 0.000 0.000
2 Tb 0.500 0.277 0.277
3 Co 0.500 0.571 0.571
4 Ni 0.000 0.711 0.711

[3]
## LaTbCoNi (PBE)

Data for a relaxed structure of LaTbCoNi.

Summary:
Energy of formation, eV per atom: -0.15
M_tot, μB per cell: 0.0
Fermi-level density of states, states/eV/f.u.: 3.1
SG: No. 216

a = 4.870 Å, b = 4.870 Å, c = 4.870 Å
α = 60.00°, β = 60.00°, γ = 60.00°
Atoms (fractional coordinates):
1 La 0.000 0.000 0.000
2 Tb 0.500 0.500 0.500
3 Co 0.750 0.750 0.750
4 Ni 0.250 0.250 0.250